No. 1
A relaxed BaLiHf crystal. Source: OQMD via LeMat-Bulk, functional PBE.

electronic total energy = -3.2355 eV/atom

Lattice parameters (Å, degrees): 7.2498 7.2498 7.2498 90.00 90.00 90.00
Closest atoms and distances in Å follow each position.
Space group F-43m (No. 216)
Inequivalent atoms, fractional coordinates:
Ba1 0.0000 0.0000 0.0000 (multiplicity 4)  4 Hf 3.14, 4 Li 3.14
Li1 0.2500 0.2500 0.2500 (multiplicity 4)  4 Ba 3.14
Hf1 0.2500 0.2500 0.7500 (multiplicity 4)  4 Ba 3.14

No. 2
A relaxed NbZnNiPb crystal. Source: OQMD via LeMat-Bulk, functional PBE.

electronic total energy = -4.7659 eV/atom

Lattice parameters (Å, degrees): 6.5231 6.5231 6.5231 90.00 90.00 90.00
Closest atoms and distances in Å follow each position.
Space group F-43m (No. 216)
Inequivalent atoms, fractional coordinates:
Nb1 0.0000 0.0000 0.0000 (multiplicity 4)  4 Pb 2.82, 4 Zn 2.82
Zn1 0.2500 0.2500 0.7500 (multiplicity 4)  4 Nb 2.82, 4 Ni 2.82
Ni1 0.0000 0.0000 0.5000 (multiplicity 4)  4 Zn 2.82, 4 Pb 2.82
Pb1 0.2500 0.2500 0.2500 (multiplicity 4)  4 Nb 2.82, 4 Ni 2.82

No. 3
A relaxed PrOs crystal. Source: OQMD via LeMat-Bulk, functional PBE.

ΔE_f = 754 meV/atom

Lattice parameters (Å, degrees): 3.3546 3.3546 4.5666 90.00 90.00 120.00
Closest atoms and distances in Å follow each position.
Space group P-6m2 (No. 187)
Inequivalent atoms, fractional coordinates:
Pr1 0.0000 0.0000 0.0000 (multiplicity 1)  6 Os 2.99
Os1 0.3333 0.6667 0.5000 (multiplicity 1)  6 Pr 2.99

No. 4
A relaxed LaThPa crystal. Source: OQMD via LeMat-Bulk, functional PBE.

ΔE_f = 937 meV/atom

Lattice parameters (Å, degrees): 7.4710 7.4710 7.4710 90.00 90.00 90.00
Closest atoms and distances in Å follow each position.
Space group F-43m (No. 216)
Inequivalent atoms, fractional coordinates:
La1 0.0000 0.0000 0.0000 (multiplicity 4)  4 Pa 3.24
Th1 0.0000 0.0000 0.5000 (multiplicity 4)  4 Pa 3.24
Pa1 0.2500 0.2500 0.2500 (multiplicity 4)  4 La 3.24, 4 Th 3.24

No. 5
A relaxed YBeAu2 crystal. Source: OQMD via LeMat-Bulk, functional PBE.

electronic total energy = -4.4675 eV/atom

Lattice parameters (Å, degrees): 6.6611 6.6611 6.6611 90.00 90.00 90.00
Closest atoms and distances in Å follow each position.
Space group F-43m (No. 216)
Inequivalent atoms, fractional coordinates:
Y1 0.0000 0.0000 0.0000 (multiplicity 4)  4 Be 2.88, 4 Au 2.88
Be1 0.2500 0.2500 0.7500 (multiplicity 4)  4 Y 2.88, 4 Au 2.88
Au1 0.0000 0.0000 0.5000 (multiplicity 4)  4 Be 2.88, 4 Au 2.88
Au2 0.2500 0.2500 0.2500 (multiplicity 4)  4 Y 2.88, 4 Au 2.88

No. 6
A relaxed LiIn2IrO6 crystal. Source: OQMD via LeMat-Bulk, functional PBE.

electronic total energy = -5.8672 eV/atom

Lattice parameters (Å, degrees): 5.2581 5.3901 9.2172 90.00 122.14 90.00
Closest atoms and distances in Å follow each position.
Space group P2_1/c (No. 14)
Inequivalent atoms, fractional coordinates:
Li1 0.0000 0.0000 0.0000 (multiplicity 2)  4 O 1.99-2.08
In1 0.2090 0.0641 0.7379 (multiplicity 4)  5 O 2.16-2.30
Ir1 0.5000 0.0000 0.5000 (multiplicity 2)  6 O 1.97-1.98
O1 0.1380 0.1965 0.4384 (multiplicity 4)  1 Ir 1.98, 1 Li 1.99, 1 In 2.19
O2 0.2281 0.7113 0.4160 (multiplicity 4)  1 Ir 1.97, 1 Li 2.08, 1 In 2.18
O3 0.4067 0.0671 0.2664 (multiplicity 4)  1 Ir 1.97, 2 In 2.16-2.19